(1)
The following is a DFT calculation (PBE-GGA) of NpP2RuRh2 after structural relaxation.

Values from the calculation:
Symmetry: Pmc2_1
E_tot (eV per atom): -8.56
Formation enthalpy at 0 K (eV per atom): -0.6031

Lattice parameters (Å, degrees): 3.980 6.632 7.052 90.00 90.00 90.00
Last column: magnetic moment on the atom in μB.
Positions (direct):
Ru: 0.500 0.146 0.697  -0.11
Ru: 0.500 0.646 0.303  -0.11
P: 0.500 0.282 0.350  -0.02
P: 0.000 0.711 0.133  0.02
P: 0.000 0.211 0.867  0.02
P: 0.500 0.782 0.650  -0.02
Rh: 0.500 0.055 0.090  -0.01
Rh: 0.000 0.863 0.848  0.12
Rh: 0.000 0.363 0.152  0.12
Rh: 0.500 0.555 0.910  -0.01
Np: 0.000 0.489 0.576  3.50
Np: 0.000 0.989 0.424  3.50

(2)
The following is a DFT calculation (PBE-GGA) of NpPRhS after structural relaxation.

Values from the calculation:
Symmetry: P4/nmm
ΔE_f (raw) (eV/atom): -0.88
E_tot (eV per atom): -8.33

Lattice parameters (Å, degrees): 4.027 4.027 8.732 90.00 90.00 90.00
Last column: magnetic moment on the atom in μB.
Positions (direct):
Rh: 0.000 0.000 0.000  0.08
Rh: 0.500 0.500 0.000  0.08
P: 0.500 0.000 0.155  -0.01
P: 0.000 0.500 0.845  -0.01
S: 0.000 0.000 0.500  -0.15
S: 0.500 0.500 0.500  -0.15
Np: 0.000 0.500 0.297  3.42
Np: 0.500 0.000 0.703  3.42

(3)
The following is a DFT calculation (PBE-GGA) of NpScP2Rh5 after structural relaxation.

Values from the calculation:
Symmetry: P4/mmm
E_tot (eV per atom): -8.00
Formation enthalpy at 0 K (eV per atom): -0.5764

Lattice parameters (Å, degrees): 4.013 4.013 10.356 90.00 90.00 90.00
Last column: magnetic moment on the atom in μB.
Positions (direct):
Rh: 0.500 0.500 0.500  -0.21
Rh: 0.500 0.000 0.180  -0.02
Rh: 0.000 0.500 0.820  -0.02
Rh: 0.500 0.000 0.820  -0.02
Rh: 0.000 0.500 0.180  -0.02
P: 0.500 0.500 0.279  -0.01
P: 0.500 0.500 0.721  -0.01
Sc: 0.000 0.000 0.000  0.01
Np: 0.000 0.000 0.500  3.88

(4)
The following is a DFT calculation (PBE-GGA) of Np2SiPRh6 after structural relaxation.

Values from the calculation:
Symmetry: Pmmn
ΔE_f (raw) (eV/atom): -0.44
E_tot (eV per atom): -8.52

Lattice parameters (Å, degrees): 5.552 7.538 8.490 90.00 90.00 90.00
Last column: magnetic moment on the atom in μB.
Positions (direct):
Np: 0.000 0.272 0.771  3.54
Np: 0.500 0.728 0.729  3.54
Np: 0.500 0.728 0.271  3.54
Np: 0.000 0.272 0.229  3.54
Si: 0.500 0.269 0.000  -0.01
Si: 0.000 0.731 0.500  -0.01
Rh: 0.000 0.882 0.251  -0.21
Rh: 0.756 0.475 0.500  -0.20
Rh: 0.753 0.999 0.500  -0.16
Rh: 0.747 0.001 0.000  -0.16
Rh: 0.247 0.999 0.500  -0.16
Rh: 0.244 0.475 0.500  -0.20
Rh: 0.256 0.525 0.000  -0.20
Rh: 0.744 0.525 0.000  -0.20
Rh: 0.500 0.118 0.249  -0.21
Rh: 0.253 0.001 0.000  -0.16
Rh: 0.500 0.118 0.751  -0.21
Rh: 0.000 0.882 0.749  -0.21
P: 0.000 0.758 0.000  -0.01
P: 0.500 0.242 0.500  -0.01

(5)
The following is a DFT calculation (PBE-GGA) of NpSnP2Rh5 after structural relaxation.

Values from the calculation:
Symmetry: P4/mmm
E_tot (eV per atom): -7.70
Formation enthalpy at 0 K (eV per atom): -0.5336

Lattice parameters (Å, degrees): 4.045 4.045 10.165 90.00 90.00 90.00
Last column: magnetic moment on the atom in μB.
Positions (direct):
Rh: 0.500 0.000 0.176  -0.01
Rh: 0.000 0.500 0.824  -0.01
Rh: 0.500 0.000 0.824  -0.01
Rh: 0.000 0.500 0.176  -0.01
Rh: 0.500 0.500 0.500  -0.18
Sn: 0.000 0.000 0.000  0.00
P: 0.500 0.500 0.724  -0.01
P: 0.500 0.500 0.276  -0.01
Np: 0.000 0.000 0.500  3.90

(6)
The following is a DFT calculation (PBE-GGA) of SrNpP2Rh5 after structural relaxation.

Values from the calculation:
Symmetry: P4/mmm
E_tot (eV per atom): -7.66
Formation enthalpy at 0 K (eV per atom): -0.7526

Lattice parameters (Å, degrees): 4.039 4.039 9.679 90.00 90.00 90.00
Last column: magnetic moment on the atom in μB.
Positions (direct):
P: 0.500 0.500 0.166  0.00
P: 0.500 0.500 0.834  0.00
Rh: 0.500 0.500 0.500  -0.26
Rh: 0.500 0.000 0.716  -0.10
Rh: 0.500 0.000 0.284  -0.10
Rh: 0.000 0.500 0.716  -0.10
Rh: 0.000 0.500 0.284  -0.10
Np: 0.000 0.000 0.500  2.81
Sr: 0.000 0.000 0.000  0.01

(7)
The following is a DFT calculation (PBE-GGA) of Tb2NpP3Rh12 after structural relaxation.

Values from the calculation:
Symmetry: R-3m
E_tot (eV per atom): -7.36
Formation enthalpy at 0 K (eV per atom): -0.3239

Lattice parameters (Å, degrees): 7.336 7.336 7.336 67.73 67.73 67.73
Last column: magnetic moment on the atom in μB.
Positions (direct):
Rh: 0.858 0.381 0.858  0.11
Rh: 0.338 0.906 0.338  0.02
Rh: 0.142 0.142 0.619  0.11
Rh: 0.094 0.662 0.662  0.02
Rh: 0.858 0.858 0.381  0.11
Rh: 0.142 0.619 0.142  0.11
Rh: 0.662 0.662 0.094  0.02
Rh: 0.619 0.142 0.142  0.11
Rh: 0.381 0.858 0.858  0.11
Rh: 0.662 0.094 0.662  0.02
Rh: 0.906 0.338 0.338  0.02
Rh: 0.338 0.338 0.906  0.02
Np: 0.000 0.000 0.000  -1.55
Tb: 0.403 0.403 0.403  -0.01
Tb: 0.597 0.597 0.597  -0.01
P: 0.000 0.500 0.000  0.00
P: 0.000 0.000 0.500  0.00
P: 0.500 0.000 0.000  0.00

(8)
The following is a DFT calculation (PBE-GGA) of NpTcP2Rh after structural relaxation.

Values from the calculation:
Symmetry: I-4m2
E_tot (eV per atom): -9.01
Formation enthalpy at 0 K (eV per atom): -0.7140

Lattice parameters (Å, degrees): 4.025 4.025 5.710 110.63 110.63 90.00
Last column: magnetic moment on the atom in μB.
Positions (direct):
P: 0.622 0.622 0.243  -0.01
P: 0.378 0.378 0.757  -0.01
Tc: 0.750 0.250 0.500  -0.06
Rh: 0.250 0.750 0.500  -0.01
Np: 0.000 0.000 0.000  3.70

(9)
The following is a DFT calculation (PBE-GGA) of Th2NpP3Rh12 after structural relaxation.

Values from the calculation:
Symmetry: R-3m
E_tot (eV per atom): -7.75
Formation enthalpy at 0 K (eV per atom): -0.4044

Lattice parameters (Å, degrees): 7.084 7.084 7.084 73.77 73.77 73.77
Last column: magnetic moment on the atom in μB.
Positions (direct):
Rh: 0.907 0.333 0.333  -0.03
Rh: 0.093 0.667 0.667  -0.03
Rh: 0.667 0.093 0.667  -0.03
Rh: 0.333 0.907 0.333  -0.03
Rh: 0.627 0.156 0.156  -0.10
Rh: 0.156 0.627 0.156  -0.10
Rh: 0.333 0.333 0.907  -0.03
Rh: 0.844 0.844 0.373  -0.10
Rh: 0.156 0.156 0.627  -0.10
Rh: 0.844 0.373 0.844  -0.10
Rh: 0.667 0.667 0.093  -0.03
Rh: 0.373 0.844 0.844  -0.10
Np: 0.000 0.000 0.000  2.72
Th: 0.393 0.393 0.393  0.02
Th: 0.607 0.607 0.607  0.02
P: 0.000 0.500 0.000  0.00
P: 0.500 0.000 0.000  0.00
P: 0.000 0.000 0.500  0.00

(10)
The following is a DFT calculation (PBE-GGA) of ThNpP2Rh2 after structural relaxation.

Values from the calculation:
Symmetry: P-3m1
E_tot (eV per atom): -8.70
Formation enthalpy at 0 K (eV per atom): -1.0530

Lattice parameters (Å, degrees): 4.146 4.146 7.648 90.00 90.00 120.00
Last column: magnetic moment on the atom in μB.
Positions (direct):
P: 0.667 0.333 0.759  -0.04
P: 0.333 0.667 0.241  -0.04
Rh: 0.333 0.667 0.720  -0.18
Rh: 0.667 0.333 0.280  -0.18
Th: 0.000 0.000 0.000  0.05
Np: 0.000 0.000 0.500  3.38

(11)
The following is a DFT calculation (PBE-GGA) of ThNpP2Rh5 after structural relaxation.

Values from the calculation:
Symmetry: P4/mmm
E_tot (eV per atom): -8.05
Formation enthalpy at 0 K (eV per atom): -0.5055

Lattice parameters (Å, degrees): 4.049 4.049 10.726 90.00 90.00 90.00
Last column: magnetic moment on the atom in μB.
Positions (direct):
P: 0.000 0.000 0.288  0.01
P: 0.000 0.000 0.712  0.01
Rh: 0.500 0.000 0.811  -0.10
Rh: 0.000 0.500 0.189  -0.10
Rh: 0.000 0.500 0.811  -0.10
Rh: 0.000 0.000 0.500  0.03
Rh: 0.500 0.000 0.189  -0.10
Np: 0.000 0.000 0.000  3.36
Th: 0.500 0.500 0.500  0.03

(12)
The following is a DFT calculation (PBE-GGA) of NpP4Ru4 after structural relaxation.

Values from the calculation:
Symmetry: P4_2/nmc
E_tot (eV per atom): -8.41
Formation enthalpy at 0 K (eV per atom): -0.4410

Lattice parameters (Å, degrees): 5.993 5.993 7.646 90.00 90.00 90.00
Last column: magnetic moment on the atom in μB.
Positions (direct):
Ru: 0.274 0.000 0.618  -0.01
Ru: 0.726 0.000 0.618  -0.01
Ru: 0.500 0.774 0.118  -0.01
Ru: 0.000 0.274 0.382  -0.01
Ru: 0.774 0.500 0.882  -0.01
Ru: 0.000 0.726 0.382  -0.01
Ru: 0.226 0.500 0.882  -0.01
Ru: 0.500 0.226 0.118  -0.01
P: 0.284 0.000 0.313  0.00
P: 0.500 0.784 0.813  0.00
P: 0.784 0.500 0.187  0.00
P: 0.000 0.716 0.687  0.00
P: 0.216 0.500 0.187  0.00
P: 0.500 0.216 0.813  0.00
P: 0.000 0.284 0.687  0.00
P: 0.716 0.000 0.313  0.00
Np: 0.500 0.500 0.500  3.77
Np: 0.000 0.000 0.000  3.77